Below is a geometry-optimized Sr2HoAl3Ga12 structure, with properties calculated at the PBE-GGA level.

- Size of the total moment: 0.000 μB/f.u.
- Energy: -171.69 eV per cell

Cell lengths 6.8219, 6.8219, 30.3959 Å; angles 90.00, 90.00, 120.00 degrees
With the nearest neighbours (Å) after each atom.
Space group R-3m (No. 166, hexagonal axes)
Unique sites:
Sr 0.0000 0.0000 0.1386  12 Ga 3.27-3.62
Ho 0.0000 0.0000 0.5000  6 Ga 3.03
Al 0.0000 0.5000 0.0000  4 Ga 2.58
Ga 0.0477 0.5238 0.8999  4 Ga 2.70-2.92
Ga 0.0657 0.5329 0.6220  2 Al 2.58, 4 Ga 2.70-2.74